# Ba2SbMo PBE relaxed
# * ΔE_f (raw): 0.143 eV per atom
# * M_tot: 0.75 μB per atom
data_Ba2SbMo
_cell_length_a 4.606
_cell_length_b 5.194
_cell_length_c 12.659
_cell_angle_alpha 90.00
_cell_angle_beta 90.00
_cell_angle_gamma 90.00
_space_group_name_H-M_alt 'A m m 2'
_space_group_IT_number 38
loop_
_space_group_symop_operation_xyz
'x,y,z'
'-x,-y,z'
'-x,y,z'
'x,-y,z'
'x,y+1/2,z+1/2'
'-x,-y+1/2,z+1/2'
'-x,y+1/2,z+1/2'
'x,-y+1/2,z+1/2'
loop_
_atom_site_label
_atom_site_type_symbol
_atom_site_fract_x
_atom_site_fract_y
_atom_site_fract_z
Ba1 Ba 0.000 0.000 0.000
Ba2 Ba 0.500 0.000 0.286
Sb1 Sb 0.500 0.000 0.582
Mo1 Mo 0.000 0.000 0.705